# 1
{"formula": "Li5Cd3Cl12", "functional": "GGA-PBE", "state": "relaxed", "e_tot_ry_per_atom": -0.217, "total_magnetization_mub_per_atom": 0.00, "lattice": [[-7.579, 7.579, 7.579], [7.579, -7.579, 7.579], [7.579, 7.579, -7.579]], "species": ["Li", "Li", "Li", "Li", "Li", "Li", "Li", "Li", "Li", "Li", "Li", "Li", "Li", "Li", "Li", "Li", "Li", "Li", "Li", "Li", "Cd", "Cd", "Cd", "Cd", "Cd", "Cd", "Cd", "Cd", "Cd", "Cd", "Cd", "Cd", "Cl", "Cl", "Cl", "Cl", "Cl", "Cl", "Cl", "Cl", "Cl", "Cl", "Cl", "Cl", "Cl", "Cl", "Cl", "Cl", "Cl", "Cl", "Cl", "Cl", "Cl", "Cl", "Cl", "Cl", "Cl", "Cl", "Cl", "Cl", "Cl", "Cl", "Cl", "Cl", "Cl", "Cl", "Cl", "Cl", "Cl", "Cl", "Cl", "Cl", "Cl", "Cl", "Cl", "Cl", "Cl", "Cl", "Cl", "Cl"], "fractional_positions": [[0.000, 0.000, 0.000], [0.000, 0.000, 0.500], [0.000, 0.500, 0.000], [0.000, 0.500, 0.500], [0.125, 0.750, 0.875], [0.125, 0.875, 0.250], [0.250, 0.125, 0.875], [0.250, 0.625, 0.375], [0.375, 0.250, 0.625], [0.375, 0.625, 0.750], [0.500, 0.000, 0.000], [0.500, 0.000, 0.500], [0.500, 0.500, 0.000], [0.500, 0.500, 0.500], [0.625, 0.375, 0.250], [0.625, 0.750, 0.375], [0.750, 0.375, 0.625], [0.750, 0.875, 0.125], [0.875, 0.125, 0.750], [0.875, 0.250, 0.125], [0.125, 0.250, 0.375], [0.125, 0.375, 0.750], [0.250, 0.375, 0.125], [0.250, 0.875, 0.625], [0.375, 0.125, 0.250], [0.375, 0.750, 0.125], [0.625, 0.250, 0.875], [0.625, 0.875, 0.750], [0.750, 0.125, 0.375], [0.750, 0.625, 0.875], [0.875, 0.625, 0.250], [0.875, 0.750, 0.625], [0.038, 0.217, 0.127], [0.038, 0.320, 0.910], [0.090, 0.627, 0.410], [0.090, 0.717, 0.680], [0.090, 0.873, 0.410], [0.090, 0.962, 0.680], [0.127, 0.038, 0.217], [0.127, 0.590, 0.910], [0.180, 0.217, 0.590], [0.180, 0.462, 0.590], [0.217, 0.127, 0.038], [0.217, 0.590, 0.180], [0.283, 0.320, 0.910], [0.283, 0.462, 0.373], [0.320, 0.910, 0.038], [0.320, 0.910, 0.283], [0.373, 0.283, 0.462], [0.373, 0.590, 0.910], [0.410, 0.090, 0.627], [0.410, 0.090, 0.873], [0.410, 0.820, 0.538], [0.410, 0.820, 0.783], [0.462, 0.373, 0.283], [0.462, 0.590, 0.180], [0.538, 0.410, 0.820], [0.538, 0.627, 0.717], [0.590, 0.180, 0.217], [0.590, 0.180, 0.462], [0.590, 0.910, 0.127], [0.590, 0.910, 0.373], [0.627, 0.410, 0.090], [0.627, 0.717, 0.538], [0.680, 0.090, 0.717], [0.680, 0.090, 0.962], [0.717, 0.538, 0.627], [0.717, 0.680, 0.090], [0.783, 0.410, 0.820], [0.783, 0.873, 0.962], [0.820, 0.538, 0.410], [0.820, 0.783, 0.410], [0.873, 0.410, 0.090], [0.873, 0.962, 0.783], [0.910, 0.038, 0.320], [0.910, 0.127, 0.590], [0.910, 0.283, 0.320], [0.910, 0.373, 0.590], [0.962, 0.680, 0.090], [0.962, 0.783, 0.873]]}


# 2
{"formula": "Li2Cd4Cl9", "functional": "GGA-PBE", "state": "relaxed", "e_tot_ry_per_atom": -0.202, "total_magnetization_mub_per_atom": 0.00, "lattice": [[6.754, 0.000, 0.000], [-3.376, 5.853, 0.000], [-0.001, -0.004, 18.493]], "species": ["Li", "Li", "Li", "Li", "Cd", "Cd", "Cd", "Cd", "Cd", "Cd", "Cd", "Cd", "Cl", "Cl", "Cl", "Cl", "Cl", "Cl", "Cl", "Cl", "Cl", "Cl", "Cl", "Cl", "Cl", "Cl", "Cl", "Cl", "Cl", "Cl"], "fractional_positions": [[0.000, 0.001, 0.155], [0.000, 0.999, 0.845], [0.002, 0.002, 0.656], [0.998, 0.998, 0.344], [0.332, 0.666, 0.186], [0.333, 0.667, 0.484], [0.333, 0.667, 0.984], [0.334, 0.667, 0.686], [0.666, 0.333, 0.314], [0.667, 0.333, 0.016], [0.667, 0.333, 0.516], [0.668, 0.334, 0.814], [0.001, 0.701, 0.750], [0.021, 0.673, 0.084], [0.022, 0.350, 0.584], [0.299, 0.000, 0.250], [0.300, 0.300, 0.750], [0.328, 0.350, 0.084], [0.328, 0.979, 0.584], [0.349, 0.327, 0.416], [0.350, 0.022, 0.916], [0.650, 0.978, 0.084], [0.651, 0.673, 0.584], [0.672, 0.021, 0.416], [0.672, 0.650, 0.916], [0.700, 0.700, 0.250], [0.701, 0.000, 0.750], [0.978, 0.650, 0.416], [0.979, 0.327, 0.916], [0.999, 0.299, 0.250]]}


# 3
{"formula": "Li2Cd2Cl7", "functional": "GGA-PBE", "state": "relaxed", "e_tot_ry_per_atom": -0.205, "total_magnetization_mub_per_atom": 0.09, "lattice": [[4.175, -5.672, 0.000], [4.175, 5.672, 0.000], [-1.089, 0.000, 6.456]], "species": ["Li", "Li", "Cd", "Cd", "Cl", "Cl", "Cl", "Cl", "Cl", "Cl", "Cl"], "fractional_positions": [[0.188, 0.812, 0.000], [0.812, 0.188, 0.000], [0.227, 0.227, 0.627], [0.773, 0.773, 0.373], [0.065, 0.065, 0.252], [0.072, 0.474, 0.790], [0.474, 0.072, 0.790], [0.500, 0.500, 0.500], [0.526, 0.928, 0.210], [0.928, 0.526, 0.210], [0.935, 0.935, 0.748]]}


Copy entry 3 word for word.
{"formula": "Li2Cd2Cl7", "functional": "GGA-PBE", "state": "relaxed", "e_tot_ry_per_atom": -0.205, "total_magnetization_mub_per_atom": 0.09, "lattice": [[4.175, -5.672, 0.000], [4.175, 5.672, 0.000], [-1.089, 0.000, 6.456]], "species": ["Li", "Li", "Cd", "Cd", "Cl", "Cl", "Cl", "Cl", "Cl", "Cl", "Cl"], "fractional_positions": [[0.188, 0.812, 0.000], [0.812, 0.188, 0.000], [0.227, 0.227, 0.627], [0.773, 0.773, 0.373], [0.065, 0.065, 0.252], [0.072, 0.474, 0.790], [0.474, 0.072, 0.790], [0.500, 0.500, 0.500], [0.526, 0.928, 0.210], [0.928, 0.526, 0.210], [0.935, 0.935, 0.748]]}